Entry from Alexandria via LeMat-Bulk: MgZnPt at its PBEsol-relaxed geometry (meta-GGA SCAN).

Results
magnetic moment	0.000	μB per formula unit
space group	P-6m2 (187)
E	-90.82	eV per cell
ΔE_f	-0.71	eV per atom

Lattice parameters (Å, degrees): 2.8588 4.3488 4.3488 120.00 90.00 90.00
Last column: nearest neighbours and their distance in Å.
Fractional positions:
Mg: 0.0000 0.0000 0.0000  2 Mg 2.86, 6 Zn 2.89, 6 Pt 2.89
Pt: 0.5000 0.3333 0.6667  3 Zn 2.51
Zn: 0.5000 0.6667 0.3333  3 Pt 2.51